[1]
The following is a PBE-GGA calculation of SiSnPdPb2 after structural relaxation, from Alexandria.

The calculation puts the formation energy (no corrections) at 1.039 eV per atom. The density of states at the Fermi level comes out at 3.07 states/eV/cell. The value obtained for the total moment is 0.0 μB per formula unit.

It has space group P4/mmm (No. 123), with a = 5.9601 Å, b = 5.9601 Å, c = 5.2526 Å, α = 90.00°, β = 90.00° and γ = 90.00°. Symmetry generates all atoms from Si at (0.0000, 0.0000, 0.0000), Sn at (0.0000, 0.0000, 0.5000), Pd at (0.5000, 0.5000, 0.0000) and Pb at (0.0000, 0.5000, 0.5000).

[2]
The following is a PBE-GGA calculation of Sr2SiPd6Pb after structural relaxation, from Alexandria.

The calculation puts the formation energy (no corrections) at -0.580 eV per atom. The density of states at the Fermi level comes out at 7.82 states/eV/cell. The value obtained for the total moment is 0.0 μB per formula unit.

It has space group Pmmn (No. 59, origin choice 2), with a = 5.7404 Å, b = 9.0104 Å, c = 8.5070 Å, α = 90.00°, β = 90.00° and γ = 90.00°. Symmetry generates all atoms from Sr at (0.2500, 0.0056, 0.2256), Si at (0.2500, 0.2500, 0.7248), Pd at (0.0063, 0.7500, 0.4974), Pd at (0.0078, 0.2500, 0.9507), Pd at (0.2500, 0.0048, 0.5983) and Pb at (0.2500, 0.7500, 0.7829).

[3]
The following is a PBE-GGA calculation of TlSiPd2Pb after structural relaxation, from Alexandria.

The calculation puts the formation energy (no corrections) at 0.719 eV per atom. The density of states at the Fermi level comes out at 2.34 states/eV/cell. The value obtained for the total moment is 0.0 μB per formula unit.

It has space group P4/mmm (No. 123), with a = 5.1195 Å, b = 5.1195 Å, c = 5.0350 Å, α = 90.00°, β = 90.00° and γ = 90.00°. Symmetry generates all atoms from Tl at (0.0000, 0.0000, 0.0000), Si at (0.0000, 0.0000, 0.5000), Pd at (0.0000, 0.5000, 0.0000) and Pb at (0.5000, 0.5000, 0.5000).

[4]
The following is a PBE-GGA calculation of ZnSiPdPb2 after structural relaxation, from Alexandria.

The calculation puts the formation energy (no corrections) at 0.437 eV per atom. The density of states at the Fermi level comes out at 2.61 states/eV/cell. The value obtained for the total moment is 0.0 μB per formula unit.

It has space group P4/mmm (No. 123), with a = 5.3345 Å, b = 5.3345 Å, c = 4.7625 Å, α = 90.00°, β = 90.00° and γ = 90.00°. Symmetry generates all atoms from Zn at (0.0000, 0.0000, 0.0000), Si at (0.5000, 0.5000, 0.0000), Pd at (0.0000, 0.0000, 0.5000) and Pb at (0.0000, 0.5000, 0.5000).